Record 1
First-principles (GGA-PBE) data for a geometry-optimized Sc2AsSe structure, as listed in Alexandria via LeMat-Bulk.

**E_form (uncorrected)**: -1.479 eV per atom
**Offset from the most stable computed form**: 0.0748 eV/atom
**Theoretical density**: 4.8 g cm⁻³
**Raw total energy**: -26.7 eV for the cell shown

Cell and atoms, written as extended XYZ:
```
4
Lattice="-1.113 1.047 -3.493 -3.493 -0.898 -1.236 -3.878 5.774 0.885" Properties=species:S:1:pos:R:3 pbc="T T T"
Sc -3.339 4.457 0.319
Sc -2.076 1.371 -1.008
As -6.936 5.841 -2.281
Se -4.253 2.988 -1.910
```



Record 2
First-principles (GGA-PBE) data for a geometry-optimized Na3CdPt structure, as listed in Alexandria via LeMat-Bulk.

**Offset from the most stable computed form**: 0.2996 eV/atom
**Theoretical density**: 3.8 g cm⁻³
**Raw total energy**: -10.4 eV for the cell shown

Cell and atoms, written as extended XYZ:
```
5
Lattice="-0.949 1.224 -5.252 -5.269 0.925 1.168 1.149 5.256 1.017" Properties=species:S:1:pos:R:3 pbc="T T T"
Na -2.634 0.463 0.584
Na 0.574 2.628 0.509
Na -0.475 0.612 -2.626
Pt 0.000 0.000 0.000
Cd -2.535 3.703 -1.533
```



Record 3
First-principles (GGA-PBE) data for a geometry-optimized DyErSnRu structure, as listed in Alexandria via LeMat-Bulk.

**Offset from the most stable computed form**: 0.0000 eV/atom
**Theoretical density**: 9.4 g cm⁻³
**Raw total energy**: -24.5 eV for the cell shown

Cell and atoms, written as extended XYZ:
```
4
Lattice="4.581 0.000 0.000 0.000 3.625 0.000 -2.291 0.000 5.819" Properties=species:S:1:pos:R:3 pbc="T T T"
Dy 0.000 0.000 1.943
Er 2.291 1.812 4.249
Sn 2.291 1.812 0.821
Ru 0.000 0.000 4.624
```



Record 4
First-principles (GGA-PBE) data for a geometry-optimized Pm8SmHo2 structure, as listed in Alexandria via LeMat-Bulk.

**Offset from the most stable computed form**: 0.0000 eV/atom
**Theoretical density**: 7.4 g cm⁻³
**Raw total energy**: -51.7 eV for the cell shown

Cell and atoms, written as extended XYZ:
```
11
Lattice="-1.934 -3.967 -2.613 4.660 1.914 -6.357 6.031 -3.830 6.386" Properties=species:S:1:pos:R:3 pbc="T T T"
Pm 2.086 -2.182 -3.265
Pm 3.637 -3.523 2.658
Pm 2.255 -1.244 0.219
Pm 3.858 0.855 -4.154
Pm 6.502 -4.640 -2.803
Pm 5.120 -2.360 -5.241
Pm 6.671 -3.702 0.682
Pm 4.899 -6.738 1.570
Sm -0.967 -1.984 -1.306
Ho 5.261 -1.427 -1.727
Ho 3.496 -4.456 -0.856
```



Record 5
First-principles (GGA-PBE) data for a geometry-optimized La3In2Hg3 structure, as listed in Alexandria via LeMat-Bulk.

**Theoretical density**: 9.0 g cm⁻³
**Raw total energy**: -50.2 eV for the cell shown

Cell and atoms, written as extended XYZ:
```
16
Lattice="-0.438 -4.736 1.009 6.049 1.724 -0.963 1.594 3.207 15.752" Properties=species:S:1:pos:R:3 pbc="T T T"
La 5.223 -1.633 6.338
La 2.442 2.754 14.009
La 4.763 -2.559 1.788
La 1.981 1.828 9.460
La 1.764 -1.742 4.318
La 5.441 1.936 11.480
In 4.630 0.117 14.306
In 3.031 0.996 6.006
In 4.173 -0.802 9.792
In 2.575 0.077 1.491
Hg 1.885 -1.030 7.714
Hg 6.004 2.600 14.841
Hg 1.201 -2.406 0.956
Hg 5.320 1.224 8.084
Hg 4.637 0.333 3.605
Hg 2.568 -0.139 12.193
```



Record 6
First-principles (GGA-PBE) data for a geometry-optimized Tb2Er2Pt15 structure, as listed in Alexandria via LeMat-Bulk.

**Theoretical density**: 17.2 g cm⁻³
**Raw total energy**: -122.8 eV for the cell shown

Cell and atoms, written as extended XYZ:
```
19
Lattice="7.085 0.026 0.023 0.945 7.022 0.023 0.945 0.829 6.973" Properties=species:S:1:pos:R:3 pbc="T T T"
Tb 3.248 2.850 2.540
Tb 5.727 5.027 4.479
Er 0.961 0.843 0.752
Er 8.014 7.034 6.268
Pt 3.543 0.013 0.012
Pt 0.472 0.415 3.486
Pt 0.472 3.511 0.012
Pt 0.945 5.081 2.201
Pt 5.161 2.218 0.023
Pt 2.869 0.578 4.795
Pt 2.869 4.830 0.023
Pt 5.161 0.278 2.201
Pt 0.945 2.770 4.795
Pt 2.376 5.129 4.570
Pt 5.394 4.734 1.155
Pt 5.394 1.691 4.570
Pt 6.599 2.749 2.449
Pt 3.582 3.143 5.864
Pt 3.581 6.187 2.449
```